1.
Here is a relaxed Ca2PuCu2S4 crystal from the Alexandria database. Energies are from GGA-PBE.

POSCAR file:
```
Ca2PuCu2S4
1.0
3.8188 0.0000 0.0000
0.0000 6.9769 0.1635
-1.9094 -2.6074 6.6214
S Ca Cu Pu
4 2 2 1
Cartesian
1.9094 5.0073 0.5349 S
0.0000 -0.6379 6.2500 S
1.9094 3.8843 3.9473 S
0.0000 0.4852 2.8376 S
0.0000 3.3028 1.8600 Ca
1.9094 1.0667 4.9249 Ca
0.0000 5.2896 4.3134 Cu
1.9094 -0.9201 2.4715 Cu
0.0000 0.0000 0.0000 Pu
```

Computed properties:
Crystal system   monoclinic
Formation energy from raw total energies   -11.3 eV/f.u.
Total magnetic moment   6.0 μB/f.u.
Space-group type   No. 12

2.
Here is a relaxed Fe2TcRu crystal from the Alexandria database. Energies are from GGA-PBE.

POSCAR file:
```
Fe2TcRu
1.0
-3.9319 -4.9966 2.0265
-0.4538 -2.1926 -6.2865
-0.1686 -5.0420 -1.7713
Fe Ru Tc
4 2 2
Cartesian
-1.7721 -6.4822 -2.9395 Fe
-2.5478 -4.6467 0.0336 Fe
-3.9630 -10.0673 -5.0423 Fe
-0.8258 -3.2662 -4.1142 Fe
0.0000 0.0000 0.0000 Ru
-3.1467 -6.8166 -0.9374 Ru
-1.4077 -5.4146 -5.0939 Tc
-2.1929 -3.5946 -2.1300 Tc
```

Computed properties:
Formation energy from the elements   725 meV per atom
Crystal system   tetragonal
Total magnetic moment   4.4 μB/f.u.
Space-group type   No. 122

3.
Here is a relaxed BaSr2In crystal from the Alexandria database. Energies are from GGA-PBE.

POSCAR file:
```
BaSr2In
1.0
-4.0584 0.9816 -4.1770
-4.2241 -4.0019 -1.0117
-6.4643 1.8244 2.5340
In Sr Ba
1 2 1
Cartesian
-11.7323 -0.3831 -1.2172 In
-3.3756 -0.5368 -1.0219 Sr
-6.0082 1.4758 2.0090 Sr
-7.4684 -0.5253 -1.2180 Ba
```

Computed properties:
Formation energy from the elements   -119 meV per atom
Crystal system   trigonal
Total magnetic moment   0.8 μB/f.u.
Space-group type   No. 160

4.
Here is a relaxed Zn2Cu5Au12 crystal from the Alexandria database. Energies are from GGA-PBE.

POSCAR file:
```
Zn2Cu5Au12
1.0
-3.0115 4.7940 0.1264
-2.7939 -4.9462 -5.8149
-3.6368 -2.4758 7.2546
Zn Au Cu
2 12 5
Cartesian
-2.2409 3.5674 0.0941 Zn
-0.7705 1.2266 0.0323 Zn
-2.7631 1.5589 1.8950 Au
-5.2815 -1.6298 -1.0826 Au
-5.6548 1.3802 2.7115 Au
-6.6256 -2.5429 2.9423 Au
-6.6791 -4.1869 -0.3289 Au
-7.7539 -1.5400 0.5220 Au
-3.7874 -4.0083 -1.1453 Au
-2.8165 -0.0851 -1.3762 Au
-1.6883 -1.0880 1.0442 Au
-4.3443 2.3469 -1.3120 Au
-5.0979 -4.9749 2.8782 Au
-4.1607 -0.9983 2.6487 Au
-3.5517 -2.1535 -2.9423 Cu
-4.6658 0.4012 0.4694 Cu
-5.8905 -0.4746 4.5084 Cu
-1.8184 -1.2379 3.6273 Cu
-4.7764 -3.0293 1.0967 Cu
```

Computed properties:
Formation energy from the elements   80 meV per atom
Crystal system   monoclinic
Total magnetic moment   0.0 μB/f.u.
Space-group type   No. 12

5.
Here is a relaxed CsZrRu3 crystal from the Alexandria database. Energies are from GGA-PBE.

POSCAR file:
```
CsZrRu3
1.0
-3.1655 0.5912 3.5955
-3.2783 -2.5411 -2.4684
1.5906 -4.0609 2.0681
Cs Zr Ru
1 1 3
Cartesian
0.0000 0.0000 0.0000 Cs
-2.4266 -3.0054 1.5976 Zr
0.7953 -2.0305 1.0340 Ru
-1.5828 0.2956 1.7978 Ru
-1.6392 -1.2706 -1.2342 Ru
```

Computed properties:
Formation energy from the elements   2434 meV per atom
Crystal system   cubic
Total magnetic moment   0.0 μB/f.u.
Space-group type   No. 221

6.
Here is a relaxed Cs4Hg2F crystal from the Alexandria database. Energies are from GGA-PBE.

POSCAR file:
```
Cs4Hg2F
1.0
-3.8301 -4.2260 0.9385
2.3874 -3.1073 -4.2491
6.6842 -8.6458 6.1468
Cs Hg F
4 2 1
Cartesian
2.0169 -5.5078 1.2296 Cs
-1.9151 -2.1130 0.4692 Cs
3.2246 -10.4714 1.6066 Cs
1.1937 -1.5537 -2.1245 Cs
0.7897 -8.8343 -0.9586 Hg
4.4517 -7.1448 3.7948 Hg
0.0000 0.0000 0.0000 F
```

Computed properties:
Crystal system   tetragonal
Formation energy from raw total energies   -5.5 eV/f.u.
Total magnetic moment   0.0 μB/f.u.
Space-group type   No. 139

7.
Here is a relaxed Ru3Pt2Rh crystal from the Alexandria database. Energies are from GGA-PBE.

POSCAR file:
```
Ru3Pt2Rh
1.0
-1.5281 2.0261 0.9767
-4.7041 -5.0669 -0.6345
3.7380 -1.5156 8.9924
Ru Rh Pt
6 2 4
Cartesian
-3.3062 -3.2685 5.3926 Ru
0.8120 -1.2879 3.9419 Ru
-0.5632 -3.0351 5.4148 Ru
0.7116 -0.8112 6.5813 Ru
-3.2058 -3.7452 2.7533 Ru
-1.9310 -1.5213 3.9198 Ru
-5.1085 -2.3771 0.7236 Rh
2.6143 -2.1793 8.6110 Rh
0.4742 -3.3834 7.7603 Pt
-2.9684 -1.1731 1.5743 Pt
-0.7259 0.1962 2.2425 Pt
-1.7683 -4.7526 7.0921 Pt
```

Computed properties:
Formation energy from the elements   80 meV per atom
Crystal system   monoclinic
Total magnetic moment   0.0 μB/f.u.
Space-group type   No. 12

8.
Here is a relaxed LiCu2N crystal from the Alexandria database. Energies are from GGA-PBE.

POSCAR file:
```
LiCu2N
1.0
-0.1867 0.8930 -4.8972
4.8530 -1.0584 -0.3780
1.1416 -5.2273 -3.5303
Li Cu N
2 4 2
Cartesian
4.1639 -3.1842 -3.2730 Li
2.3331 -0.0827 -2.6376 Li
3.1552 -1.1871 -5.4031 Cu
1.3002 -3.2716 -6.9801 Cu
1.3920 -3.7178 -4.5313 Cu
0.7286 -0.6576 -5.2156 Cu
1.6440 -2.2085 -5.5325 N
0.0000 0.0000 0.0000 N
```

Computed properties:
Crystal system   tetragonal
Formation energy from raw total energies   0.7 eV/f.u.
Total magnetic moment   0.0 μB/f.u.
Space-group type   No. 141

9.
Here is a relaxed LiLa2Al4Ga3 crystal from the Alexandria database. Energies are from GGA-PBE.

POSCAR file:
```
LiLa2Al4Ga3
1.0
-0.2583 -3.4051 -2.6727
0.0511 -2.6797 3.4090
-10.9669 0.4347 0.5062
Li Ga La Al
1 3 2 4
Cartesian
-5.5870 -2.8250 0.6212 Li
-9.5861 -1.3277 -0.8999 Ga
-1.4844 -1.2800 1.7742 Ga
-5.4834 0.2174 0.2531 Ga
-2.8515 -1.5946 -1.2107 La
-8.2190 -1.0130 2.0851 La
0.0000 0.0000 0.0000 Al
-7.0550 -1.4280 -1.0167 Al
-0.1036 -3.0424 0.3681 Al
-4.0155 -1.1797 1.8910 Al
```

Computed properties:
Formation energy from the elements   -458 meV per atom
Crystal system   tetragonal
Total magnetic moment   0.0 μB/f.u.
Space-group type   No. 115

10.
Here is a relaxed Rb2AlP2 crystal from the Alexandria database. Energies are from GGA-PBE.

POSCAR file:
```
Rb2AlP2
1.0
5.7126 0.0000 2.4380
1.4988 7.0472 4.4000
-0.2009 0.9808 8.3825
Rb P Al
4 4 2
Cartesian
6.2772 7.2659 9.0269 Rb
0.7333 0.7621 6.1936 Rb
2.2707 3.1605 10.5031 Rb
4.7398 4.8675 4.7174 Rb
1.3611 4.3068 4.7226 P
3.3825 5.8250 7.8978 P
5.6494 3.7212 10.4979 P
3.6280 2.2030 7.3227 P
4.9334 4.0140 8.2198 Al
2.0771 4.0140 7.0008 Al
```

Computed properties:
Formation energy from the elements   -401 meV per atom
Crystal system   orthorhombic
Total magnetic moment   0.7 μB/f.u.
Space-group type   No. 72

11.
Here is a relaxed NaIn2GeO6 crystal from the Alexandria database. Energies are from GGA-PBE.

POSCAR file:
```
NaIn2GeO6
1.0
5.4219 0.0004 0.0004
2.7113 4.6953 0.0000
2.7110 1.5653 4.9122
O Ge In Na
6 1 2 1
Cartesian
7.3813 3.0454 1.1316 O
4.5164 4.8697 1.1314 O
6.2344 1.9081 3.7980 O
4.3684 1.4763 1.1316 O
3.9574 3.0383 3.7977 O
6.0749 4.4450 3.7979 O
2.7110 1.5651 0.1780 Ge
2.7112 1.5654 4.7157 In
5.4221 3.1305 2.0512 In
8.1331 4.6958 2.9043 Na
```

Computed properties:
Crystal system   trigonal
Formation energy from raw total energies   -14.3 eV/f.u.
Total magnetic moment   1.1 μB/f.u.
Space-group type   No. 146

12.
Here is a relaxed LaSm2Dy2Er2 crystal from the Alexandria database. Energies are from GGA-PBE.

POSCAR file:
```
LaSm2Dy2Er2
1.0
-2.8341 0.5757 1.9677
3.2689 -7.4174 3.7693
3.1699 7.9780 2.2318
Er Dy Sm La
2 2 2 1
Cartesian
3.3038 0.1782 4.7065 Er
0.3009 0.9580 3.2622 Er
1.9740 3.4672 4.9380 Dy
1.6307 -2.3310 3.0307 Dy
1.8710 -5.4751 4.2967 Sm
1.7337 6.6114 3.6720 Sm
1.5850 3.9890 1.1159 La
```

Computed properties:
Formation energy from the elements   108 meV per atom
Crystal system   monoclinic
Total magnetic moment   0.0 μB/f.u.
Space-group type   No. 12

N(E_F) / states/eV/f.u.: 11.27; 5.33; 3.49; 6.08; 4.32; 4.58; 6.95; 0.00; 2.61; 4.12; 5.84; 11.49